This record from the Alexandria database describes TeOsIN2 after structural relaxation. The functional is PBEsol. Values from VASP.

```
&SYSTEM
  ibrav = 0, nat = 5, ntyp = 4
/
ATOMIC_SPECIES
Os 190.23 Os.upf
N 14.01 N.upf
Te 127.60 Te.upf
I 126.90 I.upf
CELL_PARAMETERS angstrom
3.960 0.000 0.000
0.000 3.960 0.000
0.000 0.000 5.732
ATOMIC_POSITIONS crystal
Os 0.000 0.000 0.000
N 0.000 0.500 0.000
Te 0.000 0.000 0.500
I 0.500 0.500 0.500
N 0.500 0.000 0.000
```

Space-group type: P4/mmm
Energy relative to the lowest polymorph listed for this composition (meV/atom): 0.0
VASP energy (eV/atom): -6.08
Fermi-level density of states (states/eV/f.u.): 1.76



This record from the Alexandria database describes Te2OsIN after structural relaxation. The functional is PBEsol. Values from VASP.

```
&SYSTEM
  ibrav = 0, nat = 5, ntyp = 4
/
ATOMIC_SPECIES
N 14.01 N.upf
Os 190.23 Os.upf
Te 127.60 Te.upf
I 126.90 I.upf
CELL_PARAMETERS angstrom
4.692 0.000 0.000
0.000 4.544 0.000
0.000 0.000 4.544
ATOMIC_POSITIONS crystal
N 0.000 0.000 0.000
Os 0.500 0.500 0.500
Te 0.000 0.500 0.000
Te 0.000 0.000 0.500
I 0.500 0.000 0.000
```

Space-group type: P4/mmm
Energy relative to the lowest polymorph listed for this composition (meV/atom): 0.0
VASP energy (eV/atom): -4.43
Fermi-level density of states (states/eV/f.u.): 3.08



This record from the Alexandria database describes Tl2OsIN after structural relaxation. The functional is PBEsol. Values from VASP.

```
&SYSTEM
  ibrav = 0, nat = 5, ntyp = 4
/
ATOMIC_SPECIES
N 14.01 N.upf
I 126.90 I.upf
Os 190.23 Os.upf
Tl 204.38 Tl.upf
CELL_PARAMETERS angstrom
3.709 0.000 0.000
0.000 5.780 0.000
0.000 0.000 5.780
ATOMIC_POSITIONS crystal
N 0.000 0.000 0.000
I 0.500 0.500 0.500
Os 0.500 0.000 0.000
Tl 0.000 0.500 0.000
Tl 0.000 0.000 0.500
```

Space-group type: P4/mmm
VASP energy (eV/atom): -5.05
Fermi-level density of states (states/eV/f.u.): 4.58



This record from the Alexandria database describes OsWIN2 after structural relaxation. The functional is PBEsol. Values from VASP.

```
&SYSTEM
  ibrav = 0, nat = 5, ntyp = 4
/
ATOMIC_SPECIES
Os 190.23 Os.upf
W 183.84 W.upf
I 126.90 I.upf
N 14.01 N.upf
CELL_PARAMETERS angstrom
-2.267 2.869 1.167
-2.847 -1.361 -2.186
-1.839 -3.253 4.421
ATOMIC_POSITIONS crystal
Os 0.000 0.000 0.000
W 0.500 0.500 0.500
I 0.000 0.000 0.500
N 0.000 0.500 0.000
N 0.500 0.000 0.000
```

Space-group type: P4/mmm
VASP energy (eV/atom): -7.27
Fermi-level density of states (states/eV/f.u.): 4.10